1.
Sc2MnZnH | GGA-PBE | relaxed Values from VASP.

Output
- Energy: -5.49 eV/atom
- Space-group type: P4/mmm

Structure (Quantum ESPRESSO input):
```
&SYSTEM
  ibrav = 0, nat = 5, ntyp = 4
/
ATOMIC_SPECIES
Mn 54.94 Mn.upf
Zn 65.41 Zn.upf
Sc 44.96 Sc.upf
H 1.01 H.upf
CELL_PARAMETERS angstrom
4.551 0.000 0.000
0.000 4.551 0.000
0.000 0.000 3.390
ATOMIC_POSITIONS crystal
Mn 0.000 0.000 0.500
Zn 0.500 0.500 0.500
Sc 0.500 0.000 0.000
Sc 0.000 0.500 0.000
H 0.000 0.000 0.000
```

***

2.
MnH2Se | GGA-PBE | relaxed Values from VASP.

Output
- Space-group type: I4_1/amd
- Excess energy over the best structure of this formula in the dataset: 0.0 meV per atom

Structure (Quantum ESPRESSO input):
```
&SYSTEM
  ibrav = 0, nat = 8, ntyp = 3
/
ATOMIC_SPECIES
H 1.01 H.upf
Mn 54.94 Mn.upf
Se 78.96 Se.upf
CELL_PARAMETERS angstrom
-1.137 -0.923 -3.393
-0.350 -3.518 1.075
-6.681 -1.113 0.530
ATOMIC_POSITIONS crystal
H 0.375 0.625 0.250
H 0.375 0.125 0.250
H 0.375 0.625 0.750
Mn 0.500 0.500 0.000
H 0.875 0.625 0.750
Mn 0.250 0.750 0.500
Se 0.000 0.000 0.000
Se 0.750 0.250 0.500
```

***

3.
MnHSe2 | GGA-PBE | relaxed Values from VASP.

Output
- Space-group type: P1
- Excess energy over the best structure of this formula in the dataset: 59.6 meV per atom

Structure (Quantum ESPRESSO input):
```
&SYSTEM
  ibrav = 0, nat = 8, ntyp = 3
/
ATOMIC_SPECIES
Mn 54.94 Mn.upf
Se 78.96 Se.upf
H 1.01 H.upf
CELL_PARAMETERS angstrom
3.345 -0.001 0.005
0.003 6.287 -0.099
1.642 -3.307 6.300
ATOMIC_POSITIONS crystal
Mn 0.402 0.100 0.324
Se 0.825 0.429 0.479
H 0.479 0.208 0.168
Se 0.030 0.897 0.067
H 0.630 0.501 0.864
Se 0.534 0.456 0.058
Mn 0.913 0.741 0.302
Se 0.279 0.955 0.573
```